A relaxed structure of Pr5ErPt4. Source: Alexandria, functional GGA-PBE.

Values from the calculation:
As for the density of states at the Fermi level: 8.171 states/eV/f.u. The calculation puts the energy at -6.117 eV per atom. The calculation puts the total magnetization at 0.0 μB per cell. The calculation puts the formation enthalpy at 0 K at -0.854 eV/atom.

abc: 9.3376 9.3376 8.1674
angles: 105.15 105.15 26.04
Fractional positions:
Pr  0.0000  0.0000  0.0000
Pr  0.3329  0.3329  0.6474
Pr  0.3345  0.3345  0.1558
Pr  0.6655  0.6655  0.8442
Pr  0.6671  0.6671  0.3526
Er  0.0000  0.0000  0.5000
Pt  0.1666  0.1666  0.6021
Pt  0.4988  0.4988  0.2542
Pt  0.5012  0.5012  0.7458
Pt  0.8334  0.8334  0.3979

A relaxed structure of CoBRu3. Source: Alexandria, functional GGA-PBE.

Values from the calculation:
As for the density of states at the Fermi level: 5.521 states/eV/f.u. The calculation puts the energy at -6.131 eV per atom. The calculation puts the total magnetization at 5.9 μB per cell. The calculation puts the formation enthalpy at 0 K at 2.191 eV/atom.

abc: 4.4028 4.4028 4.4028
angles: 90.00 90.00 90.00
Fractional positions:
Co  0.0000  0.0000  0.0000
B  0.5000  0.5000  0.5000
Ru  0.0000  0.0000  0.5000
Ru  0.0000  0.5000  0.0000
Ru  0.5000  0.0000  0.0000

A relaxed structure of Be3ZnPt. Source: Alexandria, functional GGA-PBE.

Values from the calculation:
As for the density of states at the Fermi level: 1.708 states/eV/f.u. The calculation puts the energy at -3.436 eV per atom. The calculation puts the total magnetization at 0.0 μB per cell. The calculation puts the formation enthalpy at 0 K at 0.262 eV/atom.

abc: 4.2786 4.2786 4.2786
angles: 90.00 90.00 90.00
Fractional positions:
Be  0.0000  0.0000  0.5000
Be  0.0000  0.5000  0.0000
Be  0.5000  0.0000  0.0000
Zn  0.5000  0.5000  0.5000
Pt  0.0000  0.0000  0.0000

A relaxed structure of Cd3Ag2Au4. Source: Alexandria, functional GGA-PBE.

Values from the calculation:
As for the density of states at the Fermi level: 2.302 states/eV/f.u. The calculation puts the energy at -2.522 eV per atom. The calculation puts the total magnetization at 0.0 μB per cell. The calculation puts the formation enthalpy at 0 K at -0.126 eV/atom.

abc: 6.8309 6.8309 6.8302
angles: 107.31 107.31 34.14
Fractional positions:
Cd  0.0000  0.0000  0.0000
Cd  0.1180  0.1180  0.6656
Cd  0.8820  0.8820  0.3345
Ag  0.3323  0.3323  0.9963
Ag  0.6677  0.6677  0.0037
Au  0.2191  0.2191  0.3313
Au  0.4507  0.4507  0.6710
Au  0.5493  0.5493  0.3290
Au  0.7809  0.7809  0.6687

A relaxed structure of Ba4SrY. Source: Alexandria, functional GGA-PBE.

Values from the calculation:
As for the density of states at the Fermi level: 12.797 states/eV/f.u. The calculation puts the energy at -2.297 eV per atom. The calculation puts the total magnetization at 0.7 μB per cell. The calculation puts the formation enthalpy at 0 K at 0.343 eV/atom.

abc: 7.7745 7.7745 7.7745
angles: 60.00 60.00 60.00
Fractional positions:
Ba  0.3759  0.3759  0.3759
Ba  0.3759  0.3759  0.8724
Ba  0.3759  0.8724  0.3759
Ba  0.8724  0.3759  0.3759
Sr  0.0000  0.0000  0.0000
Y  0.7500  0.7500  0.7500

A relaxed structure of CrIr2Os4Rh. Source: Alexandria, functional GGA-PBE.

Values from the calculation:
As for the density of states at the Fermi level: 7.629 states/eV/f.u. The calculation puts the energy at -9.919 eV per atom. The calculation puts the total magnetization at 0.7 μB per cell. The calculation puts the formation enthalpy at 0 K at 0.033 eV/atom.

abc: 4.6951 2.7147 8.9862
angles: 90.00 100.18 90.00
Fractional positions:
Cr  0.0000  0.0000  0.0000
Ir  0.5000  0.0000  0.5000
Ir  0.5000  0.5000  0.0000
Os  0.2419  0.5000  0.2444
Os  0.2464  0.0000  0.7546
Os  0.7536  0.0000  0.2454
Os  0.7581  0.5000  0.7556
Rh  0.0000  0.5000  0.5000

A relaxed structure of SrMg2. Source: Alexandria, functional GGA-PBE.

Values from the calculation:
As for the density of states at the Fermi level: 2.035 states/eV/f.u. The calculation puts the energy at -1.175 eV per atom. The calculation puts the total magnetization at 0.0 μB per cell. The calculation puts the formation enthalpy at 0 K at 0.449 eV/atom.

abc: 5.6120 5.6120 5.6120
angles: 60.00 60.00 60.00
Fractional positions:
Sr  0.0000  0.0000  0.0000
Mg  0.2500  0.2500  0.2500
Mg  0.7500  0.7500  0.7500

A relaxed structure of Ac3Hg4Pd4. Source: Alexandria, functional GGA-PBE.

Values from the calculation:
As for the density of states at the Fermi level: 6.377 states/eV/f.u. The calculation puts the energy at -3.750 eV per atom. The calculation puts the total magnetization at 0.0 μB per cell. The calculation puts the formation enthalpy at 0 K at -0.631 eV/atom.

abc: 9.0082 9.0082 9.0082
angles: 151.96 125.84 62.09
Fractional positions:
Ac  0.0000  0.0000  0.0000
Ac  0.3718  0.8718  0.5000
Ac  0.6282  0.1282  0.5000
Hg  0.0260  0.3321  0.6939
Hg  0.3619  0.6679  0.6939
Hg  0.6381  0.3321  0.3061
Hg  0.9740  0.6679  0.3061
Pd  0.2222  0.2222  0.0000
Pd  0.3193  0.5000  0.8193
Pd  0.6807  0.5000  0.1807
Pd  0.7778  0.7778  0.0000

What is the formula in the fourth record? Cd3Ag2Au4

formation enthalpy at 0 K of number 3 (Be3ZnPt)? 0.262 eV/atom

Among the records above, which one has the lowest formation enthalpy at 0 K? Pr5ErPt4

What is the energy in the first record? -6.117 eV per atom